An optimized crystal structure of Cs2CeDyS4, computed with PBE.

Lattice parameters (Å, degrees): 7.2592 4.1914 8.4127 90.00 106.66 90.00
With the nearest neighbours (Å) after each atom.
Space group P2/m (No. 10)
Symmetry-distinct sites (fractional):
Cs (0.0000, 0.0000, 0.0000) (multiplicity 1)  6 S 3.54-3.55
Cs (0.5000, 0.5000, 0.0000) (multiplicity 1)  6 S 3.49-3.50
Ce (0.0000, 0.5000, 0.5000) (multiplicity 1)  6 S 2.86-2.87
Dy (0.5000, 0.0000, 0.5000) (multiplicity 1)  6 S 2.79-2.81
S (0.2357, 0.0000, 0.6840) (multiplicity 2)  1 Dy 2.79, 2 Ce 2.86
S (0.2799, 0.5000, 0.3180) (multiplicity 2)  2 Dy 2.81, 1 Ce 2.87

Calculated values
ΔE_f (raw): -1786 meV per atom
E: -5.38 eV per atom
D(E_F): 4.49 states/eV/cell
Calculated density: 4.7 g/cm3